(1)
The following is a GGA-PBE calculation of a geometry-optimized Mg2ReCl structure, from Alexandria via LeMat-Bulk.

The structure in CIF format:
```
data_Mg2ReCl
_cell_length_a 8.5237
_cell_length_b 8.5237
_cell_length_c 8.5237
_cell_angle_alpha 21.03
_cell_angle_beta 21.03
_cell_angle_gamma 21.03
_space_group_name_H-M_alt 'P 1'
_space_group_IT_number 1
loop_
_space_group_symop_operation_xyz
'x,y,z'
loop_
_atom_site_label
_atom_site_type_symbol
_atom_site_fract_x
_atom_site_fract_y
_atom_site_fract_z
_atom_site_occupancy
Mg1 Mg 0.0008 0.0008 0.0008 1
Mg2 Mg 0.4992 0.4992 0.4992 1
Cl1 Cl 0.7500 0.7500 0.7500 1
Re1 Re 0.2500 0.2500 0.2500 1
```

=====

(2)
The following is a GGA-PBE calculation of a geometry-optimized MgReCl2 structure, from Alexandria via LeMat-Bulk.

The structure in CIF format:
```
data_MgReCl2
_cell_length_a 6.3344
_cell_length_b 6.3344
_cell_length_c 6.3344
_cell_angle_alpha 146.53
_cell_angle_beta 146.53
_cell_angle_gamma 48.05
_space_group_name_H-M_alt 'P 1'
_space_group_IT_number 1
loop_
_space_group_symop_operation_xyz
'x,y,z'
loop_
_atom_site_label
_atom_site_type_symbol
_atom_site_fract_x
_atom_site_fract_y
_atom_site_fract_z
_atom_site_occupancy
Re1 Re 0.2500 0.7500 0.5000 1
Cl1 Cl 0.0000 0.0000 0.0000 1
Cl2 Cl 0.7500 0.2500 0.5000 1
Mg1 Mg 0.5000 0.5000 0.0000 1
```

=====

Number 1: uncorrected energy -4.46 eV/atom, volume 17.45 A^3/atom. Number 2: uncorrected energy -3.85 eV/atom, volume 19.24 A^3/atom.